1.
Below is a relaxed SbAs4Cl crystal, with properties calculated at the PBE-GGA level.

Cell and atoms, written as CIF:
```
data_SbAs4Cl
_space_group_name_H-M_alt 'P 1'
_space_group_IT_number 1
_space_group_name_Hall 'P 1'
_cell_length_a 5.857
_cell_length_b 5.857
_cell_length_c 5.857
_cell_angle_alpha 60.00
_cell_angle_beta 60.00
_cell_angle_gamma 60.00
loop_
_atom_site_label
_atom_site_type_symbol
_atom_site_fract_x
_atom_site_fract_y
_atom_site_fract_z
Sb1 Sb 0.000 0.000 0.000
As1 As 0.176 0.608 0.608
As2 As 0.608 0.176 0.608
As3 As 0.608 0.608 0.176
As4 As 0.608 0.608 0.608
Cl1 Cl 0.250 0.250 0.250
```

Output
- Formation energy from raw total energies: 0.289 eV/atom
- DOS at the Fermi energy: 4.02 states/eV/cell
- Symmetry: F-43m, No. 216



2.
Below is a relaxed Mg3Tc crystal, with properties calculated at the PBE-GGA level.

Cell and atoms, written as CIF:
```
data_Mg3Tc
_space_group_name_H-M_alt 'P 1'
_space_group_IT_number 1
_space_group_name_Hall 'P 1'
_cell_length_a 2.807
_cell_length_b 4.694
_cell_length_c 5.579
_cell_angle_alpha 90.00
_cell_angle_beta 100.15
_cell_angle_gamma 90.00
loop_
_atom_site_label
_atom_site_type_symbol
_atom_site_fract_x
_atom_site_fract_y
_atom_site_fract_z
Mg1 Mg 0.000 0.000 0.000
Mg2 Mg 0.258 0.500 0.729
Mg3 Mg 0.742 0.500 0.271
Tc1 Tc 0.500 0.000 0.500
```

Output
- Uncorrected energy: -14.35 eV per formula unit
- DOS at the Fermi energy: 3.14 states/eV/cell
- Symmetry: P2/m, No. 10